Entry 1:
Material: Tl5As2Cl12
Method: DFT, PBE-GGA
State: relaxed

As for the volume: 32.5 Å³ per atom. The value obtained for the energy relative to the elements, uncorrected is -0.78 eV per atom. Its crystal system is monoclinic. As for the total energy: -116.4 eV/cell.

The structure belongs to space group C2/m (No. 12); the cell edges are 17.112, 7.656 and 9.968 Å and the angles 90.00°, 108.75° and 90.00°. The asymmetric unit holds Tl at (0.000, 0.000, 0.000), Tl at (0.188, 0.500, 0.319), Tl at (0.211, 0.500, 0.873), As at (0.000, 0.250, 0.500), Cl at (0.003, 0.000, 0.675), Cl at (0.004, 0.500, 0.677), Cl at (0.130, 0.245, 0.057) and Cl at (0.152, 0.255, 0.576).

---

Entry 2:
Material: Sr2CaPbS
Method: DFT, PBE-GGA
State: relaxed

As for the volume: 34.8 Å³ per atom. The value obtained for the energy relative to the elements, uncorrected is -1.06 eV per atom. Its crystal system is tetragonal. As for the total energy: -18.5 eV/cell.

The structure belongs to space group P4/mmm (No. 123); the cell edges are 5.681, 5.681 and 5.392 Å and the angles 90.00°, 90.00° and 90.00°. The asymmetric unit holds Sr at (0.000, 0.500, 0.000), Ca at (0.000, 0.000, 0.500), Pb at (0.500, 0.500, 0.500) and S at (0.000, 0.000, 0.000).

---

Entry 3:
Material: CsReCl2F6
Method: DFT, PBE-GGA
State: relaxed

As for the volume: 24.3 Å³ per atom. The value obtained for the energy relative to the elements, uncorrected is -1.89 eV per atom. Its crystal system is monoclinic. As for the total energy: -94.2 eV/cell.

The structure belongs to space group P2_1/c (No. 14); the cell edges are 8.032, 6.835 and 11.109 Å and the angles 90.00°, 127.27° and 90.00°. The asymmetric unit holds Cs at (0.000, 0.000, 0.000), Re at (0.500, 0.000, 0.500), Cl at (0.113, 0.002, 0.612), F at (0.288, 0.196, 0.429), F at (0.304, 0.704, 0.950) and F at (0.419, 0.519, 0.798).

---

Entry 4:
Material: Pr5Ag2Au
Method: DFT, PBE-GGA
State: relaxed

As for the volume: 29.7 Å³ per atom. The calculation puts the energy relative to the elements at -272 meV/atom. Its crystal system is tetragonal. As for the total energy: -140.2 eV/cell.

The structure belongs to space group I4/mcm (No. 140); the cell edges are 7.613, 7.613 and 16.410 Å and the angles 90.00°, 90.00° and 90.00°. The asymmetric unit holds Pr at (0.000, 0.000, 0.000), Pr at (0.167, 0.333, 0.154), Ag at (0.128, 0.372, 0.500) and Au at (0.000, 0.000, 0.250).

---

Entry 5:
Material: Zr3U5P8
Method: DFT, PBE-GGA
State: relaxed

As for the volume: 20.3 Å³ per atom. The calculation puts the energy relative to the elements at -1163 meV/atom. Its crystal system is trigonal. As for the total energy: -431.9 eV/cell.

The structure belongs to space group R-3m (No. 166, hexagonal axes); the cell edges are 7.6930, 7.6930 and 19.0115 Å and the angles 90.00°, 90.00° and 120.00°. The asymmetric unit holds Zr at (0.0000, 0.5000, 0.0000), U at (0.0000, 0.0000, 0.0000), U at (0.0000, 0.0000, 0.5000), U at (0.0000, 0.5000, 0.5000), P at (0.0000, 0.0000, 0.2529) and P at (0.0052, 0.5026, 0.2528).

---

Entry 6:
Material: ZrTeHBr
Method: DFT, PBE-GGA
State: relaxed

As for the volume: 22.6 Å³ per atom. Its crystal system is monoclinic. As for the total energy: -41.2 eV/cell.

The structure belongs to space group Cm (No. 8); the cell edges are 6.401, 3.695 and 7.938 Å and the angles 90.00°, 105.69° and 90.00°. The asymmetric unit holds Zr at (0.000, 0.000, 0.000), Te at (0.254, 0.500, 0.259), H at (0.334, 0.000, 0.002) and Br at (0.084, 0.500, 0.753).

---

Entry 7:
Material: La5AgAu4
Method: DFT, PBE-GGA
State: relaxed

As for the volume: 27.2 Å³ per atom. The calculation puts the energy relative to the elements at -679 meV/atom. Its crystal system is tetragonal. As for the total energy: -47.4 eV/cell.

The structure belongs to space group P4/mmm (No. 123); the cell edges are 3.769, 3.769 and 19.150 Å and the angles 90.00°, 90.00° and 90.00°. The asymmetric unit holds La at (0.000, 0.000, 0.000), La at (0.000, 0.000, 0.199), La at (0.000, 0.000, 0.396), Ag at (0.500, 0.500, 0.500), Au at (0.500, 0.500, 0.100) and Au at (0.500, 0.500, 0.300).

---

Entry 8:
Material: Pm3UTl3Se8
Method: DFT, PBE-GGA
State: relaxed

As for the volume: 32.7 Å³ per atom. The value obtained for the energy relative to the elements, uncorrected is -1.33 eV per atom. Its crystal system is trigonal. As for the total energy: -241.5 eV/cell.

The structure belongs to space group R-3m (No. 166, hexagonal axes); the cell edges are 8.5096, 8.5096 and 23.4334 Å and the angles 90.00°, 90.00° and 120.00°. The asymmetric unit holds Pm at (0.0000, 0.5000, 0.0000), U at (0.0000, 0.0000, 0.0000), Tl at (0.0000, 0.5000, 0.5000), Se at (0.0000, 0.0000, 0.2635) and Se at (0.0113, 0.5056, 0.7342).